[1]
First-principles (PBE) data for Co3CuPt12 after structural relaxation, as listed in the Alexandria database.

Values from the calculation:
Symmetry: P4/mmm
Energy: -0.456 Ry per atom

Unit cell a=3.8906 b=3.8906 c=15.5959 alpha=90.00 beta=90.00 gamma=90.00
Site moments in Bohr magnetons follow the coordinates.
Element x y z (fractional)
Pt (0.5000, 0.5000, 0.2507)  0.28
Pt (0.5000, 0.0000, 0.8737)  0.19
Pt (0.5000, 0.5000, 0.5000)  0.37
Pt (0.0000, 0.5000, 0.3752)  0.35
Pt (0.5000, 0.0000, 0.6248)  0.35
Pt (0.0000, 0.5000, 0.8737)  0.19
Pt (0.5000, 0.0000, 0.3752)  0.35
Pt (0.5000, 0.5000, 0.7493)  0.28
Pt (0.5000, 0.5000, 0.0000)  0.08
Pt (0.0000, 0.5000, 0.6248)  0.35
Pt (0.5000, 0.0000, 0.1263)  0.19
Pt (0.0000, 0.5000, 0.1263)  0.19
Co (0.0000, 0.0000, 0.5000)  1.99
Co (0.0000, 0.0000, 0.2494)  2.03
Co (0.0000, 0.0000, 0.7506)  2.03
Cu (0.0000, 0.0000, 0.0000)  0.00

***

[2]
First-principles (PBE) data for Co2CuPt after structural relaxation, as listed in the Alexandria database.

Values from the calculation:
Symmetry: F-43m
Energy: -0.442 Ry per atom

Unit cell a=4.1570 b=4.1570 c=4.1550 alpha=59.98 beta=59.98 gamma=60.00
Site moments in Bohr magnetons follow the coordinates.
Element x y z (fractional)
Cu (0.4999, 0.4999, 0.5002)  0.06
Co (0.0001, 0.0001, 0.9996)  1.96
Co (0.2499, 0.2499, 0.2504)  1.82
Pt (0.7501, 0.7501, 0.7498)  0.28

***

[3]
First-principles (PBE) data for Co2CuPt after structural relaxation, as listed in the Alexandria database.

Values from the calculation:
Symmetry: P4mm
Energy: -0.447 Ry per atom

Unit cell a=2.6717 b=2.6717 c=7.0345 alpha=90.00 beta=90.00 gamma=90.00
Site moments in Bohr magnetons follow the coordinates.
Element x y z (fractional)
Pt (0.5000, 0.5000, 0.7551)  0.18
Co (0.5000, 0.5000, 0.2395)  1.70
Co (0.0000, 0.0000, 0.0215)  1.79
Cu (0.0000, 0.0000, 0.4838)  0.06

***

[4]
First-principles (PBE) data for Co2CuPt after structural relaxation, as listed in the Alexandria database.

Values from the calculation:
Symmetry: Pm
Energy: -0.444 Ry per atom

Unit cell a=3.9761 b=2.6213 c=5.0533 alpha=74.66 beta=90.00 gamma=90.00
Site moments in Bohr magnetons follow the coordinates.
Element x y z (fractional)
Pt (0.5000, 0.8051, 0.7678)  0.26
Co (0.5000, 0.0628, 0.2498)  1.73
Co (0.0000, 0.1827, 0.0081)  1.76
Cu (0.0000, 0.4494, 0.4742)  0.06

***

[5]
First-principles (PBE) data for Co2CuPt after structural relaxation, as listed in the Alexandria database.

Values from the calculation:
Symmetry: Imm2
Energy: -0.442 Ry per atom

Unit cell a=4.9580 b=4.9580 c=4.9580 alpha=147.63 beta=128.31 gamma=62.32
Site moments in Bohr magnetons follow the coordinates.
Element x y z (fractional)
Co (0.0157, 0.0157, 0.0000)  1.83
Co (0.2413, 0.7413, 0.5000)  1.75
Cu (0.4888, 0.4888, 0.0000)  0.04
Pt (0.7543, 0.2543, 0.5000)  0.30

***

[6]
First-principles (PBE) data for CoCu4Pt after structural relaxation, as listed in the Alexandria database.

Values from the calculation:
Symmetry: F-43m
Energy: -0.352 Ry per atom

Unit cell a=4.7531 b=4.7531 c=4.7531 alpha=60.00 beta=60.00 gamma=60.00
Site moments in Bohr magnetons follow the coordinates.
Element x y z (fractional)
Cu (0.3748, 0.3748, 0.8756)  0.01
Cu (0.3748, 0.3748, 0.3748)  0.01
Cu (0.8756, 0.3748, 0.3748)  0.01
Cu (0.3748, 0.8756, 0.3748)  0.01
Co (0.0000, 0.0000, 0.0000)  1.83
Pt (0.7500, 0.7500, 0.7500)  0.12

***

[7]
First-principles (PBE) data for Co4CuPt after structural relaxation, as listed in the Alexandria database.

Values from the calculation:
Symmetry: F-43m
Energy: -0.464 Ry per atom

Unit cell a=4.7101 b=4.7101 c=4.7101 alpha=60.00 beta=60.00 gamma=60.00
Site moments in Bohr magnetons follow the coordinates.
Element x y z (fractional)
Pt (0.0000, 0.0000, 0.0000)  0.37
Co (0.3754, 0.3754, 0.8737)  1.81
Co (0.8737, 0.3754, 0.3754)  1.81
Co (0.3754, 0.8737, 0.3754)  1.81
Co (0.3754, 0.3754, 0.3754)  1.81
Cu (0.7500, 0.7500, 0.7500)  0.06

***

[8]
First-principles (PBE) data for Co2CuPt after structural relaxation, as listed in the Alexandria database.

Values from the calculation:
Symmetry: I-4m2
Energy: -0.447 Ry per atom

Unit cell a=4.4879 b=4.4879 c=4.4879 alpha=131.05 beta=131.05 gamma=71.73
Site moments in Bohr magnetons follow the coordinates.
Element x y z (fractional)
Co (0.2500, 0.7500, 0.5000)  1.75
Co (0.0000, 0.0000, 0.0000)  1.85
Cu (0.5000, 0.5000, 0.0000)  0.11
Pt (0.7500, 0.2500, 0.5000)  0.28

***

[9]
First-principles (PBE) data for Co2CuPt after structural relaxation, as listed in the Alexandria database.

Values from the calculation:
Symmetry: Pmmm
Energy: -0.446 Ry per atom

Unit cell a=2.6337 b=3.7105 c=5.1420 alpha=90.00 beta=90.00 gamma=90.00
Site moments in Bohr magnetons follow the coordinates.
Element x y z (fractional)
Co (0.0000, 0.0000, 0.0161)  1.75
Co (0.0000, 0.0000, 0.4839)  1.75
Cu (0.5000, 0.5000, 0.2500)  0.08
Pt (0.5000, 0.5000, 0.7500)  0.34

***

[10]
First-principles (PBE) data for CoCuPt5 after structural relaxation, as listed in the Alexandria database.

Values from the calculation:
Symmetry: Imm2
Energy: -0.375 Ry per atom
Energy relative to the lowest polymorph listed for this composition: 5.31 eV per formula unit

Unit cell a=6.9898 b=5.1621 c=6.1638 alpha=114.76 beta=124.54 gamma=90.00
Site moments in Bohr magnetons follow the coordinates.
Element x y z (fractional)
Cu (0.5723, 0.5000, 0.0000)  0.03
Pt (0.8810, 0.7510, 0.0000)  0.07
Pt (0.8810, 0.2490, 0.0000)  0.07
Pt (0.2107, 0.5000, 0.0000)  0.14
Pt (0.6390, 0.7462, 0.4923)  0.08
Pt (0.1467, 0.2538, 0.5077)  0.08
Co (0.2001, 0.0000, 0.0000)  2.17

***

[11]
First-principles (PBE) data for Co6CuPt after structural relaxation, as listed in the Alexandria database.

Values from the calculation:
Symmetry: Cmmm
Energy: -0.483 Ry per atom

Unit cell a=6.2555 b=6.2555 c=10.1972 alpha=90.00 beta=90.00 gamma=109.58
Site moments in Bohr magnetons follow the coordinates.
Element x y z (fractional)
Co (0.3681, 0.1232, 0.6226)  1.70
Co (0.0000, 0.0000, 0.2500)  1.71
Co (0.2468, 0.7532, 0.4957)  1.71
Co (0.6269, 0.8812, 0.1277)  1.71
Co (0.6269, 0.8812, 0.3723)  1.71
Co (0.8812, 0.6269, 0.1277)  1.71
Co (0.3681, 0.1232, 0.8774)  1.70
Co (0.1188, 0.3731, 0.3723)  1.71
Co (0.6319, 0.8768, 0.6226)  1.70
Co (0.8768, 0.6319, 0.8774)  1.70
Co (0.6319, 0.8768, 0.8774)  1.70
Co (0.1232, 0.3681, 0.8774)  1.70
Co (0.8812, 0.6269, 0.3723)  1.71
Co (0.1188, 0.3731, 0.1277)  1.71
Co (0.8768, 0.6319, 0.6226)  1.70
Co (0.3731, 0.1188, 0.1277)  1.71
Co (0.0000, 0.0000, 0.7500)  1.73
Co (0.7532, 0.2468, 0.0043)  1.71
Co (0.5000, 0.5000, 0.2500)  1.65
Co (0.2468, 0.7532, 0.0043)  1.71
Co (0.1232, 0.3681, 0.6226)  1.70
Co (0.5000, 0.5000, 0.7500)  1.70
Co (0.3731, 0.1188, 0.3723)  1.71
Co (0.7532, 0.2468, 0.4957)  1.71
Pt (0.5000, 0.5000, 0.0037)  0.33
Pt (0.5000, 0.5000, 0.4963)  0.33
Pt (0.2513, 0.7487, 0.7500)  0.35
Pt (0.7487, 0.2513, 0.7500)  0.35
Cu (0.0000, 0.0000, 0.4963)  0.15
Cu (0.2516, 0.7484, 0.2500)  0.15
Cu (0.0000, 0.0000, 0.0037)  0.15
Cu (0.7484, 0.2516, 0.2500)  0.15

***

[12]
First-principles (PBE) data for Co2CuPt2 after structural relaxation, as listed in the Alexandria database.

Values from the calculation:
Symmetry: Cmmm
Energy: -0.433 Ry per atom
Energy relative to the lowest polymorph listed for this composition: 0.35 eV per formula unit

Unit cell a=3.9572 b=3.9572 c=5.3050 alpha=89.99 beta=89.99 gamma=115.08
Site moments in Bohr magnetons follow the coordinates.
Element x y z (fractional)
Cu (0.0000, 0.0000, 0.0000)  0.09
Pt (0.5001, 0.5001, 0.7498)  0.40
Pt (0.4999, 0.4999, 0.2502)  0.40
Co (0.1696, 0.8304, 0.5000)  1.95
Co (0.8304, 0.1696, 0.5000)  1.95

***

| no. | magnetization (μB per formula unit) |
| --- | --- |
| 1 | 9.1 |
| 2 | 4.1 |
| 3 | 3.7 |
| 4 | 3.7 |
| 5 | 3.8 |
| 6 | 1.9 |
| 7 | 7.6 |
| 8 | 3.9 |
| 9 | 3.8 |
| 10 | 2.7 |
| 11 | 10.5 |
| 12 | 4.7 |